Computed, not measured: an optimized crystal structure of LiDy5Ag6 at the PBE level of DFT.

- ρ: 8.782 g/cm³
- Energy of formation from the pure elements: -0.2707 eV per atom
- Magnetic moment: 0.000 μB per atom
- Crystal system: monoclinic
- Total energy: -3.7733 eV/atom

a = 8.7835 Å, b = 8.7835 Å, c = 5.0656 Å
α = 106.73°, β = 106.73°, γ = 119.87°
Fractional coordinates of all 12 atoms:
Li 0.0000 0.0000 0.0000
Dy 0.1666 0.8334 0.5000
Dy 0.3334 0.6666 0.0000
Dy 0.5000 0.5000 0.5000
Dy 0.6666 0.3334 0.0000
Dy 0.8334 0.1666 0.5000
Ag 0.0816 0.4096 0.2457
Ag 0.2429 0.2429 0.7427
Ag 0.4096 0.0816 0.2457
Ag 0.5904 0.9184 0.7543
Ag 0.7571 0.7571 0.2573
Ag 0.9184 0.5904 0.7543

---

Computed, not measured: an optimized crystal structure of Li2Dy3Ag5 at the PBE level of DFT.

- ρ: 8.375 g/cm³
- Energy of formation from the pure elements: -0.2286 eV per atom
- Magnetic moment: 0.000 μB per atom
- Crystal system: tetragonal
- Total energy: -3.4176 eV/atom

a = 10.2833 Å, b = 10.2833 Å, c = 3.9027 Å
α = 90.00°, β = 90.00°, γ = 90.00°
Fractional coordinates of all 20 atoms:
Li 0.1161 0.3839 0.0000
Li 0.3839 0.8839 0.0000
Li 0.6161 0.1161 0.0000
Li 0.8839 0.6161 0.0000
Dy 0.0000 0.0000 0.0000
Dy 0.1798 0.6798 0.0000
Dy 0.3202 0.1798 0.0000
Dy 0.5000 0.5000 0.0000
Dy 0.6798 0.8202 0.0000
Dy 0.8202 0.3202 0.0000
Ag 0.0000 0.5000 0.5000
Ag 0.0612 0.2168 0.5000
Ag 0.2168 0.9388 0.5000
Ag 0.2832 0.4388 0.5000
Ag 0.4388 0.7168 0.5000
Ag 0.5000 0.0000 0.5000
Ag 0.5612 0.2832 0.5000
Ag 0.7168 0.5612 0.5000
Ag 0.7832 0.0612 0.5000
Ag 0.9388 0.7832 0.5000

---

Computed, not measured: an optimized crystal structure of Li6DyAg2 at the PBE level of DFT.

- ρ: 3.879 g/cm³
- Energy of formation from the pure elements: -0.1018 eV per atom
- Magnetic moment: 0.000 μB per atom
- Crystal system: tetragonal
- Total energy: -2.5226 eV/atom

a = 3.9906 Å, b = 3.9906 Å, c = 11.2870 Å
α = 90.00°, β = 90.00°, γ = 90.00°
Fractional coordinates of all 9 atoms:
Li 0.0000 0.0000 0.0000
Li 0.0000 0.5000 0.2128
Li 0.0000 0.5000 0.7872
Li 0.5000 0.0000 0.2128
Li 0.5000 0.0000 0.7872
Li 0.5000 0.5000 0.0000
Dy 0.0000 0.0000 0.5000
Ag 0.5000 0.5000 0.3757
Ag 0.5000 0.5000 0.6243